# 1
Material: LiZrTa2
Method: DFT, PBE
State: optimized geometry

The total energy comes out at -7.7877 eV per atom. The volume is 18.8 Å³/atom.

Unit cell a=7.4517 b=7.4517 c=5.4259 alpha=90.00 beta=90.00 gamma=90.00
Atoms (fractional coordinates):
1 Li 0.0000 0.0000 0.0000
2 Li 0.0000 0.5000 0.2500
3 Li 0.5000 0.0000 0.7500
4 Li 0.5000 0.5000 0.5000
5 Zr 0.0000 0.0000 0.5000
6 Zr 0.0000 0.5000 0.7500
7 Zr 0.5000 0.0000 0.2500
8 Zr 0.5000 0.5000 0.0000
9 Ta 0.2222 0.2500 0.1250
10 Ta 0.2500 0.7222 0.3750
11 Ta 0.2500 0.7778 0.8750
12 Ta 0.2778 0.2500 0.6250
13 Ta 0.7222 0.7500 0.6250
14 Ta 0.7500 0.2222 0.8750
15 Ta 0.7500 0.2778 0.3750
16 Ta 0.7778 0.7500 0.1250


# 2
Material: LiZrTa4
Method: DFT, PBE
State: optimized geometry

The total energy comes out at -9.2219 eV per atom. The volume is 20.2 Å³/atom.

Unit cell a=5.5594 b=5.5594 c=5.5594 alpha=60.00 beta=60.00 gamma=60.00
Atoms (fractional coordinates):
1 Li 0.0000 0.0000 0.0000
2 Zr 0.2500 0.2500 0.2500
3 Ta 0.1303 0.6232 0.6232
4 Ta 0.6232 0.1303 0.6232
5 Ta 0.6232 0.6232 0.1303
6 Ta 0.6232 0.6232 0.6232


# 3
Material: LiZrTa2
Method: DFT, PBE
State: optimized geometry

The total energy comes out at -8.2276 eV per atom. The volume is 19.2 Å³/atom.

Unit cell a=3.0966 b=4.7333 c=10.4964 alpha=90.00 beta=90.00 gamma=90.00
Atoms (fractional coordinates):
1 Li 0.0000 0.0000 0.0000
2 Li 0.5000 0.5000 0.0000
3 Zr 0.0000 0.0000 0.5000
4 Zr 0.5000 0.5000 0.5000
5 Ta 0.0000 0.5000 0.2479
6 Ta 0.0000 0.5000 0.7521
7 Ta 0.5000 0.0000 0.2479
8 Ta 0.5000 0.0000 0.7521


# 4
Material: LiZrTa
Method: DFT, PBE
State: optimized geometry

The total energy comes out at -7.1686 eV per atom. The volume is 20.1 Å³/atom.

Unit cell a=3.4753 b=4.5707 c=15.2048 alpha=90.00 beta=90.00 gamma=90.00
Atoms (fractional coordinates):
1 Li 0.0000 0.0000 0.0000
2 Li 0.0000 0.5000 0.5000
3 Li 0.5000 0.0000 0.5000
4 Li 0.5000 0.5000 0.0000
5 Zr 0.0000 0.0000 0.3189
6 Zr 0.0000 0.5000 0.8189
7 Zr 0.5000 0.0000 0.8189
8 Zr 0.5000 0.5000 0.3189
9 Ta 0.0000 0.0000 0.6655
10 Ta 0.0000 0.5000 0.1655
11 Ta 0.5000 0.0000 0.1655
12 Ta 0.5000 0.5000 0.6655


# 5
Material: LiZrTa
Method: DFT, PBE
State: optimized geometry

The total energy comes out at -7.1325 eV per atom. The volume is 18.6 Å³/atom.

Unit cell a=4.6941 b=4.6941 c=5.8445 alpha=90.00 beta=90.00 gamma=120.00
Atoms (fractional coordinates):
1 Li 0.0000 0.0000 0.0000
2 Li 0.3333 0.6667 0.6474
3 Zr 0.3333 0.6667 0.1686
4 Zr 0.6667 0.3333 0.8067
5 Ta 0.0000 0.0000 0.4898
6 Ta 0.6667 0.3333 0.3384


# 6
Material: LiZrTa2
Method: DFT, PBE
State: optimized geometry

The total energy comes out at -8.2321 eV per atom. The volume is 18.9 Å³/atom.

Unit cell a=2.6930 b=5.1035 c=5.5423 alpha=90.00 beta=97.86 gamma=90.00
Atoms (fractional coordinates):
1 Li 0.0000 0.0000 0.0000
2 Zr 0.5000 0.0000 0.5000
3 Ta 0.2099 0.5000 0.7497
4 Ta 0.7901 0.5000 0.2503